VASP calculation (PBEsol) on crystalline Ca11Al14O32 at its relaxed geometry.

Symmetry = No. 5
E_form (uncorrected) = -3.055 eV per atom
Magnetization = 0.16 μB/f.u.

a = 10.396 Å, b = 10.386 Å, c = 10.386 Å
α = 70.48°, β = 70.21°, γ = 109.06°
Atoms (fractional coordinates):
Ca 0.365 0.367 0.495
Ca 0.135 0.253 0.116
Ca 0.865 0.749 0.883
Ca 0.880 0.879 0.509
Ca 0.500 0.118 0.382
Ca 0.635 0.140 0.998
Ca 0.613 0.249 0.637
Ca 0.000 0.865 0.135
Ca 0.387 0.750 0.364
Ca 0.000 0.389 0.611
Ca 0.120 0.612 0.001
Al 0.000 0.126 0.874
Al 0.715 0.466 0.284
Al 0.623 0.624 0.503
Al 0.500 0.379 0.121
Al 0.216 0.967 0.784
Al 0.784 0.000 0.249
Al 0.285 0.001 0.249
Al 0.127 0.751 0.624
Al 0.749 0.534 0.752
Al 0.377 0.874 0.999
Al 0.240 0.493 0.719
Al 0.251 0.499 0.214
Al 0.873 0.248 0.376
Al 0.760 0.041 0.747
O 0.431 0.588 0.551
O 0.156 0.312 0.720
O 0.327 0.384 0.162
O 0.545 0.387 0.269
O 0.674 0.620 0.645
O 0.673 0.512 0.943
O 0.042 0.978 0.867
O 0.859 0.090 0.346
O 0.809 0.904 0.725
O 0.958 0.091 0.065
O 0.455 0.186 0.158
O 0.630 0.476 0.458
O 0.115 0.993 0.252
O 0.141 0.794 0.770
O 0.764 0.811 0.338
O 0.274 0.909 0.435
O 0.938 0.704 0.658
O 0.382 0.134 0.614
O 0.618 0.004 0.248
O 0.726 0.291 0.365
O 0.370 0.912 0.154
O 0.236 0.898 0.952
O 0.569 0.018 0.843
O 0.160 0.596 0.626
O 0.885 0.634 0.121
O 0.748 0.366 0.748
O 0.326 0.682 0.054
O 0.252 0.504 0.381
O 0.062 0.403 0.234
O 0.844 0.124 0.844
O 0.840 0.214 0.564
O 0.191 0.466 0.905